(1)
CrIn: optimized geometry, PBE-GGA.

Lattice parameters (Å, degrees): 11.9517 4.2218 6.0507 90.00 90.00 90.00
Last column: nearest neighbours and their distance in Å.
Element x y z (fractional)
In (0.9455, 0.2500, 0.1597)  6 Cr 2.79-2.92, 1 In 3.08
Cr (0.5949, 0.7500, 0.1949)  3 Cr 2.47-2.50
In (0.4455, 0.2500, 0.3403)  6 Cr 2.79-2.92, 1 In 3.08
Cr (0.4062, 0.7500, 0.0155)  3 Cr 2.47-2.50
Cr (0.0949, 0.7500, 0.3051)  3 Cr 2.47-2.50
In (0.7214, 0.2500, 0.4103)  6 Cr 2.79-3.09, 1 In 3.08
In (0.7786, 0.7500, 0.9103)  6 Cr 2.79-3.09, 1 In 3.08
In (0.2214, 0.2500, 0.0897)  6 Cr 2.79-3.09, 1 In 3.08
In (0.0545, 0.7500, 0.8403)  6 Cr 2.79-2.92, 1 In 3.08
In (0.5545, 0.7500, 0.6597)  6 Cr 2.79-2.92, 1 In 3.08
Cr (0.9051, 0.2500, 0.6949)  3 Cr 2.47-2.50
Cr (0.4051, 0.2500, 0.8051)  3 Cr 2.47-2.50
In (0.2786, 0.7500, 0.5897)  6 Cr 2.79-3.09, 1 In 3.08
Cr (0.9062, 0.7500, 0.4845)  3 Cr 2.47-2.50
Cr (0.0938, 0.2500, 0.5155)  3 Cr 2.47-2.50
Cr (0.5938, 0.2500, 0.9845)  3 Cr 2.47-2.50

calculated formation energy	0.3111	eV per atom
electronic total energy	-5.87	eV per atom
magnetic moment	0.29	μB/cell
density	7.3	g cm⁻³

(2)
CuH2Br4: optimized geometry, PBE-GGA.

Lattice parameters (Å, degrees): 12.9561 10.8000 11.8931 129.58 164.06 63.11
Last column: nearest neighbours and their distance in Å.
Element x y z (fractional)
Br (0.4062, 0.5070, 0.3006)  1 H 1.44
Br (0.9538, 0.6666, 0.6322)  2 Cu 2.43-2.44
Cu (0.9245, 0.9071, 0.8463)  4 Br 2.43-2.44
Br (0.9088, 0.1567, 0.0740)  2 Cu 2.43-2.44
Br (0.5560, 0.7688, 0.9284)  1 H 1.44
H (0.2495, 0.5702, 0.2595)  1 Br 1.44
H (0.5013, 0.9237, 0.9590)  1 Br 1.44

electronic total energy	-2.74	eV per atom
magnetic moment	0.00	μB/cell
density	2.8	g cm⁻³

(3)
InPb5Cl11: optimized geometry, PBE-GGA.

Lattice parameters (Å, degrees): 9.4381 8.9502 8.9502 118.80 97.49 97.49
Last column: nearest neighbours and their distance in Å.
Element x y z (fractional)
Pb (0.0000, 0.5000, 0.5000)  6 Cl 2.91-2.95
Cl (0.9555, 0.1289, 0.3823)  2 Pb 2.80-2.91
Cl (0.9555, 0.3823, 0.1289)  2 Pb 2.80-2.91
Cl (0.3228, 0.5775, 0.5775)  3 Pb 2.95
Cl (0.0445, 0.6177, 0.8711)  2 Pb 2.80-2.91
Pb (0.3474, 0.6435, 0.9372)  6 Cl 2.80-3.07
Pb (0.3474, 0.9372, 0.6435)  6 Cl 2.80-3.07
Cl (0.6772, 0.4225, 0.4225)  3 Pb 2.95
Cl (0.6638, 0.1158, 0.6995)  3 Pb 2.86-3.05
Cl (0.5000, 0.0000, 0.0000)  4 Pb 3.07
Cl (0.0445, 0.8711, 0.6177)  2 Pb 2.80-2.91
Cl (0.6638, 0.6995, 0.1158)  3 Pb 2.86-3.05
Cl (0.3362, 0.3005, 0.8842)  3 Pb 2.86-3.05
Pb (0.6526, 0.0628, 0.3565)  6 Cl 2.80-3.07
In (0.0000, 0.0000, 0.0000)  4 Cl 3.15
Cl (0.3362, 0.8842, 0.3005)  3 Pb 2.86-3.05
Pb (0.6526, 0.3565, 0.0628)  6 Cl 2.80-3.07

electronic total energy	-3.52	eV per atom
magnetic moment	0.00	μB/cell
density	4.0	g cm⁻³
ΔE_f (raw)	-1.07	eV per atom

(4)
MgCrOs2: optimized geometry, PBE-GGA.

Lattice parameters (Å, degrees): 4.2240 2.7264 5.0366 77.37 90.00 90.00
Last column: nearest neighbours and their distance in Å.
Element x y z (fractional)
Os (0.0000, 0.0022, 0.0032)  2 Cr 2.50-2.69, 2 Mg 2.69, 4 Os 2.71-2.73
Cr (0.0000, 0.4257, 0.5091)  4 Os 2.50-2.69, 2 Mg 2.63, 2 Cr 2.73
Os (0.5000, 0.3373, 0.2514)  2 Cr 2.52, 2 Mg 2.58-2.63, 4 Os 2.71-2.73
Mg (0.5000, 0.7348, 0.7363)  5 Os 2.58-2.88, 4 Cr 2.63-2.89, 2 Mg 2.73

calculated formation energy	0.2793	eV per atom
electronic total energy	-8.14	eV per atom
magnetic moment	0.00	μB/cell
density	13.4	g cm⁻³